Entry 1:
Entry from the Alexandria database: a crystal of YCdBi3 relaxed with PBEsol (meta-GGA SCAN).

Values from the calculation:
* energy of formation from the pure elements: 0.362 eV/atom
* calculated density: 8175 kg/m³
* density of states at the Fermi level: 0.82 states/eV per atom
* total moment: 0.000 μB/cell
* SG: Pm-3m (221)

Cell and atoms, written as extended XYZ:
```
5
Lattice="5.520 0.000 0.000 0.000 5.520 0.000 0.000 0.000 5.520" Properties=species:S:1:pos:R:3 pbc="T T T"
Bi 0.000 0.000 2.760
Cd 0.000 0.000 0.000
Bi 0.000 2.760 0.000
Bi 2.760 0.000 0.000
Y 2.760 2.760 2.760
```

=====

Entry 2:
Entry from the Alexandria database: a crystal of ZnCd2Bi relaxed with PBEsol (meta-GGA SCAN).

Values from the calculation:
* energy of formation from the pure elements: 0.229 eV/atom
* calculated density: 8957 kg/m³
* density of states at the Fermi level: 0.33 states/eV per atom
* total moment: 0.000 μB/cell
* SG: Fm-3m (225)

Cell and atoms, written as extended XYZ:
```
4
Lattice="5.077 0.000 0.000 2.539 4.397 0.000 2.539 1.466 4.146" Properties=species:S:1:pos:R:3 pbc="T T T"
Cd 2.539 1.466 1.036
Cd 7.616 4.397 3.109
Bi 5.077 2.931 2.073
Zn 0.000 0.000 0.000
```

=====

Entry 3:
Entry from the Alexandria database: a crystal of ZnCd3Bi relaxed with PBEsol (meta-GGA SCAN).

Values from the calculation:
* energy of formation from the pure elements: 0.586 eV/atom
* calculated density: 5268 kg/m³
* density of states at the Fermi level: 0.22 states/eV per atom
* total moment: 0.000 μB/cell
* SG: Pm-3m (221)

Cell and atoms, written as extended XYZ:
```
5
Lattice="-5.317 1.763 -1.411 -0.088 -3.769 -4.377 -2.257 -4.007 3.496" Properties=species:S:1:pos:R:3 pbc="T T T"
Zn -3.831 -3.007 -1.146
Cd -0.044 -1.884 -2.189
Cd -2.659 0.881 -0.706
Cd -1.128 -2.004 1.748
Bi 0.000 0.000 0.000
```

=====

Entry 4:
Entry from the Alexandria database: a crystal of Zr2CdBi2 relaxed with PBEsol (meta-GGA SCAN).

Values from the calculation:
* energy of formation from the pure elements: -0.304 eV/atom
* calculated density: 9699 kg/m³
* density of states at the Fermi level: 0.64 states/eV per atom
* total moment: 0.000 μB/cell
* SG: P4/mbm (127)

Cell and atoms, written as extended XYZ:
```
10
Lattice="-2.180 1.953 2.574 -6.420 -3.915 -2.466 1.351 -5.619 5.406" Properties=species:S:1:pos:R:3 pbc="T T T"
Bi -1.211 -3.331 4.452
Bi -6.038 -4.251 1.063
Zr -3.922 -3.298 -0.820
Zr -0.417 -2.570 1.596
Bi -4.170 -6.333 4.224
Zr -4.652 -6.964 1.344
Cd 0.000 0.000 0.000
Bi -3.079 -1.249 1.291
Zr -1.147 -6.236 3.760
Cd -2.535 -4.767 1.470
```

=====

- The lowest density of states at the Fermi level belongs to which entry?
  ZnCd3Bi

=====

- Look up the total moment of the second one.
  0.000 μB/cell